TlZnCo2Ni PBE relaxed; final energy = -3.79 eV/atom; calculated volume = 85.6 Å³/f.u.; crystal system = tetragonal; space group = P4/mmm, No. 123; density = 8.7 Mg/m³; total moment = 2.8 μB per formula unit; energy of formation from the pure elements = 0.938 eV/atom
1.0
-2.7782 3.2689 -1.0339
0.1214 -1.2306 -4.2172
-3.4263 -2.6945 0.6876
Ni Tl Co Zn
1 1 2 1
direct
0.0000 0.5000 0.0000
0.5000 0.5000 0.5000
0.0000 0.0000 0.5000
0.5000 0.0000 0.0000
0.0000 0.0000 0.0000